1.
VASP calculation (PBE) on a relaxed ScTlBr2 crystal.

CIF file:
```
data_ScTlBr2
_chemical_formula_sum 'Sc4 Tl4 Br8'
_cell_length_a 7.605
_cell_length_b 7.605
_cell_length_c 7.605
_cell_angle_alpha 90.00
_cell_angle_beta 90.00
_cell_angle_gamma 90.00
_space_group_name_H-M_alt 'F -4 3 m'
_space_group_IT_number 216
_space_group_name_Hall 'F -4 2 3'
loop_
_atom_site_label
_atom_site_type_symbol
_atom_site_fract_x
_atom_site_fract_y
_atom_site_fract_z
_atom_site_occupancy
Sc1 Sc 0.000 0.000 0.000 1
Tl1 Tl 0.250 0.250 0.750 1
Br1 Br 0.000 0.000 0.500 1
Br2 Br 0.250 0.250 0.250 1
```

The total magnetization comes out at 1.76 μB per formula unit. The value obtained for the excess energy over the best structure of this formula in the dataset is 804 meV/atom.

***

2.
VASP calculation (PBE) on a relaxed Pr2CdIr crystal.

CIF file:
```
data_Pr2CdIr
_chemical_formula_sum 'Pr2 Cd1 Ir1'
_cell_length_a 3.662
_cell_length_b 3.662
_cell_length_c 7.797
_cell_angle_alpha 90.00
_cell_angle_beta 90.00
_cell_angle_gamma 90.00
_space_group_name_H-M_alt 'P 4/m m m'
_space_group_IT_number 123
_space_group_name_Hall '-P 4 2'
loop_
_atom_site_label
_atom_site_type_symbol
_atom_site_fract_x
_atom_site_fract_y
_atom_site_fract_z
_atom_site_occupancy
Pr1 Pr 0.000 0.000 0.217 1
Cd1 Cd 0.500 0.500 0.500 1
Ir1 Ir 0.500 0.500 0.000 1
```

The total magnetization comes out at 0.00 μB per formula unit. The value obtained for the excess energy over the best structure of this formula in the dataset is 44 meV/atom. The energy of formation comes out at -42.7 kJ per mole of atoms.

***

3.
VASP calculation (PBE) on a relaxed Pr2DyF8 crystal.

CIF file:
```
data_Pr2DyF8
_chemical_formula_sum 'Pr4 Dy2 F16'
_cell_length_a 16.056
_cell_length_b 3.894
_cell_length_c 5.409
_cell_angle_alpha 90.00
_cell_angle_beta 104.97
_cell_angle_gamma 90.00
_space_group_name_H-M_alt 'C 1 2/m 1'
_space_group_IT_number 12
loop_
_space_group_symop_operation_xyz
'x,y,z'
'-x,-y,-z'
'-x,y,-z'
'x,-y,z'
'x+1/2,y+1/2,z'
'-x+1/2,-y+1/2,-z'
'-x+1/2,y+1/2,-z'
'x+1/2,-y+1/2,z'
loop_
_atom_site_label
_atom_site_type_symbol
_atom_site_fract_x
_atom_site_fract_y
_atom_site_fract_z
_atom_site_occupancy
Pr1 Pr 0.165 0.000 0.165 1
Dy1 Dy 0.000 0.500 0.500 1
F1 F 0.024 0.000 0.294 1
F2 F 0.095 0.500 0.892 1
F3 F 0.131 0.500 0.406 1
F4 F 0.237 0.000 0.826 1
```

The total magnetization comes out at 0.92 μB per formula unit. The calculation puts the total energy at -6.49 eV per atom.

***

4.
VASP calculation (PBE) on a relaxed Ag2Au crystal.

CIF file:
```
data_Ag2Au
_chemical_formula_sum 'Ag16 Au8'
_cell_length_a 4.212
_cell_length_b 4.212
_cell_length_c 24.217
_cell_angle_alpha 90.00
_cell_angle_beta 90.00
_cell_angle_gamma 90.00
_space_group_name_H-M_alt 'I 41/a m d'
_space_group_IT_number 141
loop_
_space_group_symop_operation_xyz
'x,y,z'
'-x,-y,-z'
'-y+1/4,x+3/4,z+1/4'
'y+1/4,-x+3/4,-z+1/4'
'-x+1/2,-y,z+1/2'
'x+1/2,y,-z+1/2'
'y+1/4,-x+1/4,z+3/4'
'-y+1/4,x+1/4,-z+3/4'
'x,-y,-z'
'-x,y,z'
'-y+1/4,-x+1/4,-z+3/4'
'y+1/4,x+1/4,z+3/4'
'-x+1/2,y,-z+1/2'
'x+1/2,-y,z+1/2'
'y+1/4,x+3/4,-z+1/4'
'-y+1/4,-x+3/4,z+1/4'
'x+1/2,y+1/2,z+1/2'
'-x+1/2,-y+1/2,-z+1/2'
'-y+3/4,x+1/4,z+3/4'
'y+3/4,-x+1/4,-z+3/4'
'-x,-y+1/2,z'
'x,y+1/2,-z'
'y+3/4,-x+3/4,z+1/4'
'-y+3/4,x+3/4,-z+1/4'
'x+1/2,-y+1/2,-z+1/2'
'-x+1/2,y+1/2,z+1/2'
'-y+3/4,-x+3/4,-z+1/4'
'y+3/4,x+3/4,z+1/4'
'-x,y+1/2,-z'
'x,-y+1/2,z'
'y+3/4,x+1/4,-z+3/4'
'-y+3/4,-x+1/4,z+3/4'
loop_
_atom_site_label
_atom_site_type_symbol
_atom_site_fract_x
_atom_site_fract_y
_atom_site_fract_z
_atom_site_occupancy
Ag1 Ag 0.000 0.250 0.125 1
Ag2 Ag 0.000 0.250 0.292 1
Au1 Au 0.000 0.250 0.792 1
```

The total magnetization comes out at 0.00 μB per formula unit. The value obtained for the excess energy over the best structure of this formula in the dataset is 2 meV/atom. The energy of formation comes out at -3.4 kJ per mole of atoms.

***

5.
VASP calculation (PBE) on a relaxed SmTm3Se4 crystal.

CIF file:
```
data_SmTm3Se4
_chemical_formula_sum 'Sm2 Tm6 Se8'
_cell_length_a 8.246
_cell_length_b 11.478
_cell_length_c 3.990
_cell_angle_alpha 90.00
_cell_angle_beta 90.00
_cell_angle_gamma 90.00
_space_group_name_H-M_alt 'C m m m'
_space_group_IT_number 65
_space_group_name_Hall '-C 2 2'
loop_
_atom_site_label
_atom_site_type_symbol
_atom_site_fract_x
_atom_site_fract_y
_atom_site_fract_z
_atom_site_occupancy
Sm1 Sm 0.000 0.000 0.000 1
Tm1 Tm 0.000 0.500 0.000 1
Tm2 Tm 0.250 0.250 0.500 1
Se1 Se 0.000 0.255 0.000 1
Se2 Se 0.240 0.500 0.500 1
```

The total magnetization comes out at 0.00 μB per formula unit. The value obtained for the excess energy over the best structure of this formula in the dataset is 0 meV/atom.